[1]
Material: Dy2HgIrC
Method: DFT, GGA-PBE
State: optimized geometry Values from VASP.

```
&SYSTEM
  ibrav = 0, nat = 5, ntyp = 4
/
ATOMIC_SPECIES
Dy 162.50 Dy.upf
Hg 200.59 Hg.upf
Ir 192.22 Ir.upf
C 12.01 C.upf
ATOMIC_POSITIONS angstrom
Dy 0.000 0.000 2.536
Dy 0.000 2.536 0.000
Hg 1.947 2.536 2.536
Ir 1.947 0.000 0.000
C 0.000 0.000 0.000
CELL_PARAMETERS angstrom
3.895 0.000 0.000
0.000 5.072 0.000
0.000 0.000 5.072
```

Computed properties:
As for the symmetry: P4/mmm (123). The total energy comes out at -6.075 eV per atom. The energy of formation is -0.557 eV per atom. The mass density is 12.096 g/cm³.

---

[2]
Material: La2DyHgC
Method: DFT, GGA-PBE
State: optimized geometry Values from VASP.

```
&SYSTEM
  ibrav = 0, nat = 5, ntyp = 4
/
ATOMIC_SPECIES
La 138.91 La.upf
Dy 162.50 Dy.upf
Hg 200.59 Hg.upf
C 12.01 C.upf
ATOMIC_POSITIONS angstrom
La 0.000 0.000 2.625
La 0.000 2.625 0.000
Dy 2.435 0.000 0.000
Hg 2.435 2.625 2.625
C 0.000 0.000 0.000
CELL_PARAMETERS angstrom
4.871 0.000 0.000
0.000 5.249 0.000
0.000 0.000 5.249
```

Computed properties:
As for the symmetry: P4/mmm (123). The total energy comes out at -5.063 eV per atom. The energy of formation is -0.266 eV per atom. The mass density is 8.078 g/cm³.

---

[3]
Material: Nd2DyHgC
Method: DFT, GGA-PBE
State: optimized geometry Values from VASP.

```
&SYSTEM
  ibrav = 0, nat = 5, ntyp = 4
/
ATOMIC_SPECIES
Nd 144.24 Nd.upf
Dy 162.50 Dy.upf
Hg 200.59 Hg.upf
C 12.01 C.upf
ATOMIC_POSITIONS angstrom
Nd 0.000 0.000 2.572
Nd 0.000 2.572 0.000
Dy 2.422 0.000 0.000
Hg 2.422 2.572 2.572
C 0.000 0.000 0.000
CELL_PARAMETERS angstrom
4.845 0.000 0.000
0.000 5.145 0.000
0.000 0.000 5.145
```

Computed properties:
As for the symmetry: P4/mmm (123). The total energy comes out at -4.989 eV per atom. The energy of formation is -0.256 eV per atom. The mass density is 8.593 g/cm³.

---

[4]
Material: DyPaHgC
Method: DFT, GGA-PBE
State: optimized geometry Values from VASP.

```
&SYSTEM
  ibrav = 0, nat = 4, ntyp = 4
/
ATOMIC_SPECIES
Dy 162.50 Dy.upf
Pa 231.04 Pa.upf
Hg 200.59 Hg.upf
C 12.01 C.upf
ATOMIC_POSITIONS angstrom
Dy -3.719 2.331 3.309
Pa 2.289 1.414 1.721
Hg -2.003 -0.434 3.079
C -3.330 4.593 4.340
CELL_PARAMETERS angstrom
-1.200 -3.104 1.197
2.742 1.569 1.591
-5.117 5.355 3.538
```

Computed properties:
As for the symmetry: R3m (160). The total energy comes out at -6.251 eV per atom. The energy of formation is -0.345 eV per atom. The mass density is 11.687 g/cm³.

---

[5]
Material: PmDy2HgC
Method: DFT, GGA-PBE
State: optimized geometry Values from VASP.

```
&SYSTEM
  ibrav = 0, nat = 5, ntyp = 4
/
ATOMIC_SPECIES
Pm 145.00 Pm.upf
Dy 162.50 Dy.upf
Hg 200.59 Hg.upf
C 12.01 C.upf
ATOMIC_POSITIONS angstrom
Pm -0.189 2.523 -0.333
Dy -0.956 0.224 2.238
Dy -2.241 -0.291 -0.929
Hg -3.387 2.456 0.975
C 0.000 0.000 0.000
CELL_PARAMETERS angstrom
-0.378 5.045 -0.667
-4.483 -0.581 -1.858
-1.912 0.448 4.475
```

Computed properties:
As for the symmetry: P4/mmm (123). The total energy comes out at -5.018 eV per atom. The energy of formation is -0.322 eV per atom. The mass density is 9.300 g/cm³.

---

[6]
Material: Dy2HgRuC
Method: DFT, GGA-PBE
State: optimized geometry Values from VASP.

```
&SYSTEM
  ibrav = 0, nat = 5, ntyp = 4
/
ATOMIC_SPECIES
Dy 162.50 Dy.upf
Hg 200.59 Hg.upf
Ru 101.07 Ru.upf
C 12.01 C.upf
ATOMIC_POSITIONS angstrom
Dy 0.000 0.000 2.513
Dy 0.000 2.513 0.000
Hg 1.962 2.513 2.513
Ru 1.962 0.000 0.000
C 0.000 0.000 0.000
CELL_PARAMETERS angstrom
3.925 0.000 0.000
0.000 5.026 0.000
0.000 0.000 5.026
```

Computed properties:
As for the symmetry: P4/mmm (123). The total energy comes out at -6.057 eV per atom. The energy of formation is -0.456 eV per atom. The mass density is 10.695 g/cm³.

---

[7]
Material: Dy6Hg3C2S
Method: DFT, GGA-PBE
State: optimized geometry Values from VASP.

```
&SYSTEM
  ibrav = 0, nat = 12, ntyp = 4
/
ATOMIC_SPECIES
Dy 162.50 Dy.upf
Hg 200.59 Hg.upf
C 12.01 C.upf
S 32.06 S.upf
ATOMIC_POSITIONS angstrom
Dy 3.316 1.733 6.221
Dy 2.066 3.577 1.401
Dy -1.160 1.999 1.442
Dy -0.156 3.738 6.221
Dy 0.090 0.156 6.263
Dy 2.311 -0.005 1.442
Hg -2.284 3.808 3.832
Hg 4.439 -0.075 3.832
Hg 1.078 1.866 3.832
C -0.009 3.724 0.007
C 3.230 1.854 0.007
S 0.000 0.000 0.000
CELL_PARAMETERS angstrom
6.429 0.006 0.007
-3.208 5.572 0.007
-1.066 -1.845 7.649
```

Computed properties:
As for the symmetry: C2/m (12). The uncorrected formation energy comes out at -0.68 eV per atom. The total energy comes out at -4.941 eV per atom. The mass density is 9.884 g/cm³.

---

[8]
Material: Dy8Hg4CS3
Method: DFT, GGA-PBE
State: optimized geometry Values from VASP.

```
&SYSTEM
  ibrav = 0, nat = 16, ntyp = 4
/
ATOMIC_SPECIES
Dy 162.50 Dy.upf
Hg 200.59 Hg.upf
C 12.01 C.upf
S 32.06 S.upf
ATOMIC_POSITIONS angstrom
Dy -2.055 2.385 5.836
Dy 0.000 4.441 2.931
Dy 0.000 0.538 3.076
Dy 2.055 2.385 5.836
Dy 1.756 2.576 0.369
Dy 3.811 4.424 3.129
Dy 3.811 0.520 3.274
Dy 5.867 2.576 0.369
Hg 3.811 0.000 0.000
Hg 1.906 -1.908 2.694
Hg 0.000 0.000 0.000
Hg -1.906 -1.908 2.694
C 0.000 4.388 0.408
S 3.811 4.388 0.408
S 1.906 2.481 3.102
S -1.906 2.481 3.102
CELL_PARAMETERS angstrom
7.623 0.000 0.000
0.000 8.776 0.817
-3.811 -3.815 5.388
```

Computed properties:
As for the symmetry: R-3m (166). The uncorrected formation energy comes out at -1.03 eV per atom. The total energy comes out at -4.755 eV per atom. The mass density is 9.554 g/cm³.